(1)
The following is a GGA-PBE calculation of a relaxed FeSi2Os crystal, from the Alexandria database.

## Properties
DOS(E_F) ... 2.94 states/eV/cell
Formation energy (no corrections) ... 0.29 eV per atom

abc: 2.7145 2.7145 8.0096
angles: 90.00 90.00 115.06
Last column: nearest neighbours and their distance in Å.
Atoms (fractional coordinates):
Fe (0.0000, 0.0000, 0.0000)  2 Si 2.34, 2 Os 2.60
Si (0.0000, 0.0000, 0.5119)  2 Os 2.43, 6 Si 2.54-2.71
Si (0.5000, 0.5000, 0.7719)  2 Fe 2.34, 2 Si 2.54
Os (0.5000, 0.5000, 0.2687)  2 Si 2.43, 2 Fe 2.60, 4 Os 2.71

***

(2)
The following is a GGA-PBE calculation of a relaxed NaLiCO3 crystal, from the Alexandria database.

## Properties
DOS(E_F) ... 0.00 states/eV/cell
Polymorph energy (0 for the lowest one) ... 0 meV per atom
Formation energy (no corrections) ... -1.82 eV per atom

abc: 8.3890 8.3890 3.3430
angles: 90.00 90.00 120.00
Last column: nearest neighbours and their distance in Å.
Atoms (fractional coordinates):
Na (0.0486, 0.7052, 0.0000)  5 O 2.37-2.43
Na (0.2948, 0.3435, 0.0000)  5 O 2.37-2.43
Na (0.6565, 0.9514, 0.0000)  5 O 2.37-2.43
Li (0.3735, 0.0475, 0.5000)  4 O 1.94-2.06
Li (0.6740, 0.6265, 0.5000)  4 O 1.94-2.06
Li (0.9525, 0.3260, 0.5000)  4 O 1.94-2.06
C (0.0000, 0.0000, 0.5000)  3 O 1.30
C (0.3333, 0.6667, 0.5000)  3 O 1.30
C (0.6667, 0.3333, 0.0000)  3 O 1.30-1.31
O (0.0715, 0.1778, 0.5000)  1 C 1.30
O (0.1063, 0.9285, 0.5000)  1 C 1.30
O (0.1543, 0.5777, 0.5000)  1 C 1.30
O (0.4223, 0.5765, 0.5000)  1 C 1.30
O (0.4235, 0.8457, 0.5000)  1 C 1.30
O (0.4925, 0.2082, 0.0000)  1 C 1.31
O (0.7157, 0.5075, 0.0000)  1 C 1.31
O (0.7918, 0.2843, 0.0000)  1 C 1.30
O (0.8222, 0.8937, 0.5000)  1 C 1.30

***

(3)
The following is a GGA-PBE calculation of a relaxed NaHoAgSb crystal, from the Alexandria database.

## Properties
DOS(E_F) ... 1.53 states/eV/cell
Formation energy (no corrections) ... -0.43 eV per atom

abc: 5.1755 5.1755 5.1755
angles: 60.00 60.00 60.00
Last column: nearest neighbours and their distance in Å.
Atoms (fractional coordinates):
Na (0.0000, 0.0000, 0.0000)  4 Sb 3.17, 4 Ag 3.17
Ho (0.5000, 0.5000, 0.5000)  4 Sb 3.17, 4 Ag 3.17
Ag (0.2500, 0.2500, 0.2500)  4 Ho 3.17, 4 Na 3.17
Sb (0.7500, 0.7500, 0.7500)  4 Na 3.17, 4 Ho 3.17

***

(4)
The following is a GGA-PBE calculation of a relaxed NaBiAu crystal, from the Alexandria database.

## Properties
DOS(E_F) ... 0.99 states/eV/cell
Formation enthalpy at 0 K ... -27.7 kJ per mole of atoms
Polymorph energy (0 for the lowest one) ... 0 meV per atom

abc: 4.9420 4.9420 3.6753
angles: 90.00 90.00 120.00
Last column: nearest neighbours and their distance in Å.
Atoms (fractional coordinates):
Na (0.0000, 0.0000, 0.0000)  6 Bi 3.39, 6 Au 3.39, 2 Na 3.68
Bi (0.6667, 0.3333, 0.5000)  3 Au 2.85
Au (0.3333, 0.6667, 0.5000)  3 Bi 2.85

***

(5)
The following is a GGA-PBE calculation of a relaxed AcSm8Y4 crystal, from the Alexandria database.

## Properties
DOS(E_F) ... 22.75 states/eV/cell
Formation enthalpy at 0 K ... 49.8 kJ per mole of atoms

abc: 7.9387 7.9387 7.9387
angles: 90.09 90.09 90.09
Last column: nearest neighbours and their distance in Å.
Atoms (fractional coordinates):
Ac (0.0000, 0.0000, 0.0000)  8 Sm 3.61-3.62, 6 Y 3.97
Sm (0.2622, 0.7368, 0.7368)  4 Y 3.26-3.50, 1 Ac 3.62
Sm (0.2630, 0.2630, 0.2630)  4 Y 3.25-3.50, 1 Ac 3.61
Sm (0.2632, 0.2632, 0.7378)  4 Y 3.26-3.50, 1 Ac 3.62
Sm (0.2632, 0.7378, 0.2632)  4 Y 3.26-3.50, 1 Ac 3.62
Sm (0.7368, 0.2622, 0.7368)  4 Y 3.26-3.50, 1 Ac 3.62
Sm (0.7368, 0.7368, 0.2622)  4 Y 3.26-3.50, 1 Ac 3.62
Sm (0.7370, 0.7370, 0.7370)  4 Y 3.25-3.50, 1 Ac 3.61
Sm (0.7378, 0.2632, 0.2632)  4 Y 3.26-3.50, 1 Ac 3.62
Y (0.0000, 0.0000, 0.5000)  8 Sm 3.50
Y (0.0000, 0.5000, 0.0000)  8 Sm 3.50
Y (0.5000, 0.0000, 0.0000)  8 Sm 3.50
Y (0.5000, 0.5000, 0.5000)  8 Sm 3.25-3.26

***

(6)
The following is a GGA-PBE calculation of a relaxed SmPa2N crystal, from the Alexandria database.

## Properties
DOS(E_F) ... 5.54 states/eV/cell
Formation energy (no corrections) ... -0.56 eV per atom

abc: 9.2163 9.2163 9.2163
angles: 21.28 21.28 21.28
Last column: nearest neighbours and their distance in Å.
Atoms (fractional coordinates):
Sm (0.0000, 0.0000, 0.0000)  6 Sm 3.40, 6 Pa 3.64
Pa (0.2201, 0.2201, 0.2201)  3 N 2.44
Pa (0.7799, 0.7799, 0.7799)  3 N 2.44
N (0.5000, 0.5000, 0.5000)  6 Pa 2.44

***

(7)
The following is a GGA-PBE calculation of a relaxed AcCuPtPb crystal, from the Alexandria database.

## Properties
DOS(E_F) ... 3.40 states/eV/cell
Formation enthalpy at 0 K ... -38.6 kJ per mole of atoms

abc: 5.1416 5.1416 5.1416
angles: 60.00 60.00 60.00
Last column: nearest neighbours and their distance in Å.
Atoms (fractional coordinates):
Ac (0.0000, 0.0000, 0.0000)  4 Cu 3.15, 4 Pt 3.15
Cu (0.2500, 0.2500, 0.2500)  4 Pb 3.15, 4 Ac 3.15
Pt (0.7500, 0.7500, 0.7500)  4 Pb 3.15, 4 Ac 3.15
Pb (0.5000, 0.5000, 0.5000)  4 Pt 3.15, 4 Cu 3.15

***

(8)
The following is a GGA-PBE calculation of a relaxed Hf2Ag2Rh crystal, from the Alexandria database.

## Properties
DOS(E_F) ... 6.57 states/eV/cell
Formation enthalpy at 0 K ... 5.3 kJ per mole of atoms

abc: 7.3440 7.3440 3.4943
angles: 90.00 90.00 90.00
Last column: nearest neighbours and their distance in Å.
Atoms (fractional coordinates):
Hf (0.1781, 0.3219, 0.0000)  6 Ag 2.67-2.87
Hf (0.3219, 0.8219, 0.0000)  6 Ag 2.67-2.87
Hf (0.6781, 0.1781, 0.0000)  6 Ag 2.67-2.87
Hf (0.8219, 0.6781, 0.0000)  6 Ag 2.67-2.87
Ag (0.1276, 0.6276, 0.5000)  1 Ag 2.65, 6 Hf 2.67-2.87, 2 Rh 2.89
Ag (0.3724, 0.1276, 0.5000)  1 Ag 2.65, 6 Hf 2.67-2.87, 2 Rh 2.89
Ag (0.6276, 0.8724, 0.5000)  1 Ag 2.65, 6 Hf 2.67-2.87, 2 Rh 2.89
Ag (0.8724, 0.3724, 0.5000)  1 Ag 2.65, 6 Hf 2.67-2.87, 2 Rh 2.89
Rh (0.0000, 0.0000, 0.5000)  4 Ag 2.89, 8 Hf 3.22
Rh (0.5000, 0.5000, 0.5000)  4 Ag 2.89, 8 Hf 3.22

***

(9)
The following is a GGA-PBE calculation of a relaxed AcBPd4 crystal, from the Alexandria database.

## Properties
DOS(E_F) ... 3.79 states/eV/cell
Formation enthalpy at 0 K ... -42.0 kJ per mole of atoms
Polymorph energy (0 for the lowest one) ... 75 meV per atom

abc: 7.7233 3.9195 6.9031
angles: 90.00 90.00 90.00
Last column: nearest neighbours and their distance in Å.
Atoms (fractional coordinates):
Ac (0.2500, 0.0000, 0.1006)  12 Pd 3.15-3.37, 1 B 3.21
Ac (0.7500, 0.0000, 0.8994)  12 Pd 3.15-3.37, 1 B 3.21
B (0.2500, 0.0000, 0.6363)  4 Pd 2.15-2.32
B (0.7500, 0.0000, 0.3637)  4 Pd 2.15-2.32
Pd (0.0000, 0.0000, 0.5000)  2 B 2.15
Pd (0.0652, 0.5000, 0.7953)  2 B 2.66, 4 Pd 2.74-2.87
Pd (0.2500, 0.5000, 0.4571)  2 B 2.32
Pd (0.4348, 0.5000, 0.7953)  2 B 2.66, 4 Pd 2.74-2.87
Pd (0.5000, 0.0000, 0.5000)  2 B 2.15
Pd (0.5652, 0.5000, 0.2047)  2 B 2.66, 4 Pd 2.74-2.87
Pd (0.7500, 0.5000, 0.5429)  2 B 2.32
Pd (0.9348, 0.5000, 0.2047)  2 B 2.66, 4 Pd 2.74-2.87

***

(10)
The following is a GGA-PBE calculation of a relaxed Sc2PbBr crystal, from the Alexandria database.

## Properties
DOS(E_F) ... 4.22 states/eV/cell
Polymorph energy (0 for the lowest one) ... 134 meV per atom
Formation energy (no corrections) ... -0.47 eV per atom

abc: 3.4766 3.4766 9.2499
angles: 90.00 90.00 118.35
Last column: nearest neighbours and their distance in Å.
Atoms (fractional coordinates):
Sc (0.0000, 0.0000, 0.2381)  2 Br 2.83, 2 Pb 3.01
Sc (0.0000, 0.0000, 0.7619)  2 Br 2.83, 2 Pb 3.01
Pb (0.5000, 0.5000, 0.5000)  4 Sc 3.01
Br (0.5000, 0.5000, 0.0000)  4 Sc 2.83

***

(11)
The following is a GGA-PBE calculation of a relaxed Li2Pt2I crystal, from the Alexandria database.

## Properties
DOS(E_F) ... 6.92 states/eV/cell
Polymorph energy (0 for the lowest one) ... 105 meV per atom
Formation energy (no corrections) ... -0.08 eV per atom

abc: 5.3355 5.3355 5.3355
angles: 121.39 121.39 87.60
Last column: nearest neighbours and their distance in Å.
Atoms (fractional coordinates):
Li (0.2500, 0.7500, 0.5000)  4 Pt 2.70
Li (0.7500, 0.2500, 0.5000)  4 Pt 2.70
Pt (0.1606, 0.1606, 0.0000)  1 Pt 2.47, 1 I 2.61, 4 Li 2.70
Pt (0.8394, 0.8394, 0.0000)  1 Pt 2.47, 1 I 2.61, 4 Li 2.70
I (0.5000, 0.5000, 0.0000)  2 Pt 2.61

***

(12)
The following is a GGA-PBE calculation of a relaxed CaMo2Ru crystal, from the Alexandria database.

## Properties
DOS(E_F) ... 5.03 states/eV/cell
Formation enthalpy at 0 K ... 54.5 kJ per mole of atoms
Polymorph energy (0 for the lowest one) ... 154 meV per atom

abc: 3.1212 4.4912 4.8828
angles: 90.00 90.00 90.00
Last column: nearest neighbours and their distance in Å.
Atoms (fractional coordinates):
Ca (0.0000, 0.0000, 0.0000)  4 Ru 2.73, 4 Mo 2.90
Mo (0.0000, 0.5000, 0.5000)  4 Mo 2.73, 4 Ru 2.90
Mo (0.5000, 0.0000, 0.5000)  4 Mo 2.73, 4 Ca 2.90
Ru (0.5000, 0.5000, 0.0000)  4 Ca 2.73, 4 Mo 2.90

***

(13)
The following is a GGA-PBE calculation of a relaxed SrP2Se crystal, from the Alexandria database.

## Properties
DOS(E_F) ... 1.85 states/eV/cell
Formation energy (no corrections) ... -0.17 eV per atom

abc: 4.2138 4.2138 4.8295
angles: 90.00 90.00 90.00
Last column: nearest neighbours and their distance in Å.
Atoms (fractional coordinates):
Sr (0.0000, 0.0000, 0.0000)  4 Se 2.98, 8 P 3.20
P (0.0000, 0.5000, 0.5000)  4 P 2.98, 4 Se 3.20, 4 Sr 3.20
P (0.5000, 0.0000, 0.5000)  4 P 2.98, 4 Se 3.20, 4 Sr 3.20
Se (0.5000, 0.5000, 0.0000)  4 Sr 2.98, 8 P 3.20

***

(14)
The following is a GGA-PBE calculation of a relaxed DyMgGa2 crystal, from the Alexandria database.

## Properties
DOS(E_F) ... 1.84 states/eV/cell
Formation enthalpy at 0 K ... -37.6 kJ per mole of atoms

abc: 5.6111 5.6111 5.6111
angles: 46.94 46.94 46.94
Last column: nearest neighbours and their distance in Å.
Atoms (fractional coordinates):
Dy (0.0000, 0.0000, 0.0000)  8 Ga 3.05-3.36
Mg (0.5000, 0.5000, 0.5000)  6 Ga 2.72
Ga (0.2248, 0.2248, 0.2248)  3 Mg 2.72, 3 Dy 3.05
Ga (0.7752, 0.7752, 0.7752)  3 Mg 2.72, 3 Dy 3.05

***

(15)
The following is a GGA-PBE calculation of a relaxed HfGaIO2 crystal, from the Alexandria database.

## Properties
DOS(E_F) ... 2.14 states/eV/cell
Polymorph energy (0 for the lowest one) ... 1429 meV per atom
Formation energy (no corrections) ... -0.16 eV per atom

abc: 4.0092 4.0092 5.3116
angles: 90.00 90.00 90.00
Last column: nearest neighbours and their distance in Å.
Atoms (fractional coordinates):
Hf (0.0000, 0.0000, 0.0000)  4 I 2.83
Ga (0.5000, 0.5000, 0.5000)  4 O 2.00
I (0.5000, 0.5000, 0.0000)  2 Ga 2.66, 4 Hf 2.83
O (0.0000, 0.5000, 0.5000)  2 Ga 2.00
O (0.5000, 0.0000, 0.5000)  2 Ga 2.00

***

(16)
The following is a GGA-PBE calculation of a relaxed CeGa4Au crystal, from the Alexandria database.

## Properties
DOS(E_F) ... 8.01 states/eV/cell
Formation enthalpy at 0 K ... -21.8 kJ per mole of atoms

abc: 5.5344 5.5344 5.5344
angles: 60.00 60.00 60.00
Last column: nearest neighbours and their distance in Å.
Atoms (fractional coordinates):
Ce (0.0000, 0.0000, 0.0000)  12 Ga 3.24, 4 Au 3.39
Ga (0.1238, 0.6254, 0.6254)  6 Ga 2.76-2.78
Ga (0.6254, 0.1238, 0.6254)  6 Ga 2.76-2.78
Ga (0.6254, 0.6254, 0.1238)  6 Ga 2.76-2.78
Ga (0.6254, 0.6254, 0.6254)  6 Ga 2.76-2.78
Au (0.2500, 0.2500, 0.2500)  12 Ga 3.25, 4 Ce 3.39

***

(17)
The following is a GGA-PBE calculation of a relaxed DyTh4Sc5 crystal, from the Alexandria database.

## Properties
DOS(E_F) ... 12.60 states/eV/cell
Formation enthalpy at 0 K ... 5.1 kJ per mole of atoms

abc: 3.9075 3.9075 18.4496
angles: 90.00 90.00 90.00
Last column: nearest neighbours and their distance in Å.
Atoms (fractional coordinates):
Dy (0.0000, 0.0000, 0.0000)  8 Sc 3.35, 2 Th 3.68
Th (0.0000, 0.0000, 0.1993)  8 Sc 3.29-3.31, 1 Dy 3.68
Th (0.0000, 0.0000, 0.3990)  8 Sc 3.33, 2 Th 3.68-3.73
Th (0.0000, 0.0000, 0.6010)  8 Sc 3.33, 2 Th 3.68-3.73
Th (0.0000, 0.0000, 0.8007)  8 Sc 3.29-3.31, 1 Dy 3.68
Sc (0.5000, 0.5000, 0.1025)  4 Th 3.29, 4 Dy 3.35, 1 Sc 3.61
Sc (0.5000, 0.5000, 0.2982)  8 Th 3.31-3.33, 1 Sc 3.61
Sc (0.5000, 0.5000, 0.5000)  8 Th 3.33, 2 Sc 3.72
Sc (0.5000, 0.5000, 0.7018)  8 Th 3.31-3.33, 1 Sc 3.61
Sc (0.5000, 0.5000, 0.8975)  4 Th 3.29, 4 Dy 3.35, 1 Sc 3.61

***

(18)
The following is a GGA-PBE calculation of a relaxed Pm3AgSn2 crystal, from the Alexandria database.

## Properties
DOS(E_F) ... 7.33 states/eV/cell
Formation enthalpy at 0 K ... -48.7 kJ per mole of atoms
Polymorph energy (0 for the lowest one) ... 109 meV per atom

abc: 8.8782 8.8782 6.3877
angles: 102.84 102.84 42.73
Last column: nearest neighbours and their distance in Å.
Atoms (fractional coordinates):
Pm (0.1570, 0.8430, 0.7500)  4 Ag 3.11-3.46, 4 Sn 3.18-3.28
Pm (0.2205, 0.4369, 0.3973)  5 Sn 3.18-3.49, 2 Ag 3.20-3.55, 3 Pm 3.49-3.52
Pm (0.4369, 0.2205, 0.8973)  5 Sn 3.18-3.49, 2 Ag 3.20-3.55, 3 Pm 3.49-3.52
Pm (0.5631, 0.7795, 0.1027)  5 Sn 3.18-3.49, 2 Ag 3.20-3.55, 3 Pm 3.49-3.52
Pm (0.7795, 0.5631, 0.6027)  5 Sn 3.18-3.49, 2 Ag 3.20-3.55, 3 Pm 3.49-3.52
Pm (0.8430, 0.1570, 0.2500)  4 Ag 3.11-3.46, 4 Sn 3.18-3.28
Ag (0.3628, 0.6372, 0.2500)  6 Pm 3.11-3.46, 2 Sn 3.27
Ag (0.6372, 0.3628, 0.7500)  6 Pm 3.11-3.46, 2 Sn 3.27
Sn (0.0514, 0.2613, 0.0449)  7 Pm 3.18-3.49, 1 Ag 3.27, 2 Sn 3.47
Sn (0.2613, 0.0514, 0.5449)  7 Pm 3.18-3.49, 1 Ag 3.27, 2 Sn 3.47
Sn (0.7387, 0.9486, 0.4551)  7 Pm 3.18-3.49, 1 Ag 3.27, 2 Sn 3.47
Sn (0.9486, 0.7387, 0.9551)  7 Pm 3.18-3.49, 1 Ag 3.27, 2 Sn 3.47

***

(19)
The following is a GGA-PBE calculation of a relaxed PaFeSi4Ni2 crystal, from the Alexandria database.

## Properties
DOS(E_F) ... 6.65 states/eV/cell
Formation energy (no corrections) ... -0.44 eV per atom

abc: 8.6932 8.6932 8.6932
angles: 26.02 26.02 26.02
Last column: nearest neighbours and their distance in Å.
Atoms (fractional coordinates):
Pa (0.0000, 0.0000, 0.0000)  6 Si 2.90
Fe (0.5000, 0.5000, 0.5000)  8 Si 2.38-2.43
Si (0.1312, 0.1312, 0.1312)  4 Ni 2.39-2.55, 3 Fe 2.43
Si (0.4055, 0.4055, 0.4055)  3 Ni 2.37, 1 Fe 2.38
Si (0.5945, 0.5945, 0.5945)  3 Ni 2.37, 1 Fe 2.38
Si (0.8688, 0.8688, 0.8688)  4 Ni 2.39-2.55, 3 Fe 2.43
Ni (0.2326, 0.2326, 0.2326)  7 Si 2.37-2.55
Ni (0.7674, 0.7674, 0.7674)  7 Si 2.37-2.55

***

(20)
The following is a GGA-PBE calculation of a relaxed NaCdClO crystal, from the Alexandria database.

## Properties
Formation energy (no corrections) ... -1.05 eV per atom

abc: 3.3770 3.6910 6.4948
angles: 90.00 90.00 90.00
Last column: nearest neighbours and their distance in Å.
Atoms (fractional coordinates):
Na (0.0000, 0.0000, 0.0000)  2 O 2.35
Cd (0.0000, 0.0000, 0.4492)  2 O 2.12
Cl (0.5000, 0.5000, 0.7314)  4 Na 3.05, 4 Cd 3.10, 2 Cl 3.38
O (0.5000, 0.0000, 0.2515)  2 Cd 2.12, 2 Na 2.35